Entry from Alexandria via LeMat-Bulk: a relaxed GdDyMgPt crystal (PBE).

Summary:
For the total moment, the calculation gives 7.110 μB per formula unit. The symmetry is F-43m, No. 216. For the energy of formation from the pure elements, the calculation gives -582 meV per atom.

Cell and atoms, written as POSCAR:
```
GdDyMgPt
1.0
0.000 3.613 3.613
3.613 0.000 3.613
3.613 3.613 0.000
Gd Dy Mg Pt
1 1 1 1
Cartesian
0.000 0.000 0.000 Gd
3.613 3.613 3.613 Dy
5.419 5.419 5.419 Mg
1.806 1.806 1.806 Pt
```

=====

Entry from Alexandria via LeMat-Bulk: a relaxed SrZnGa2Ge crystal (PBE).

Summary:
For the total moment, the calculation gives 0.000 μB per formula unit. The symmetry is Imm2, No. 44. For the energy of formation from the pure elements, the calculation gives -378 meV per atom.

Cell and atoms, written as POSCAR:
```
SrZnGa2Ge
1.0
-2.228 2.236 5.377
2.228 -2.236 5.377
2.228 2.236 -5.377
Sr Zn Ga Ge
1 1 2 1
Cartesian
0.000 0.000 0.000 Sr
2.228 0.000 2.691 Zn
0.000 0.000 4.052 Ga
0.000 2.236 2.699 Ga
0.000 0.000 6.610 Ge
```

=====

Entry from Alexandria via LeMat-Bulk: a relaxed NbBiN2O crystal (PBE).

Summary:
The calculation puts the raw formation energy at 1177.9 meV per atom. For the total moment, the calculation gives 1.733 μB per formula unit. The symmetry is P4/mmm, No. 123.

Cell and atoms, written as POSCAR:
```
NbBiN2O
1.0
4.249 0.000 0.000
0.000 4.249 0.000
0.000 0.000 4.136
Nb Bi N O
1 1 2 1
Cartesian
0.000 0.000 0.000 Nb
2.125 2.125 2.068 Bi
0.000 2.125 2.068 N
2.125 0.000 2.068 N
2.125 2.125 0.000 O
```

=====

Entry from Alexandria via LeMat-Bulk: a relaxed NaLa5Cd3 crystal (PBE).

Summary:
For the total moment, the calculation gives 0.000 μB per formula unit. The symmetry is P6_3/mcm, No. 193. For the energy of formation from the pure elements, the calculation gives -122 meV per atom.

Cell and atoms, written as POSCAR:
```
NaLa5Cd3
1.0
9.770 0.000 0.000
-4.885 8.461 0.000
0.000 0.000 7.030
Na La Cd
2 10 6
Cartesian
0.000 0.000 0.000 Na
0.000 0.000 3.515 Na
-1.583 2.742 1.757 La
-3.302 5.719 5.272 La
3.166 0.000 1.757 La
1.583 2.742 5.272 La
0.000 5.641 0.000 La
0.000 5.641 3.515 La
4.885 2.820 0.000 La
4.885 2.820 3.515 La
6.604 0.000 5.272 La
3.302 5.719 1.757 La
-1.679 2.908 5.272 Cd
-3.206 5.553 1.757 Cd
3.358 0.000 5.272 Cd
1.679 2.908 1.757 Cd
6.412 0.000 1.757 Cd
3.206 5.553 5.272 Cd
```